(1)
# K4AgBi, optimized geometry, DFT PBE
# Energy relative to the elements ... -1.247 eV/f.u.
# N(E_F) ... 2.977 states/eV/cell
# Energy ... -2.06 eV per atom
data_K4AgBi
_chemical_formula_sum 'K16 Ag4 Bi4'
_cell_length_a 10.409
_cell_length_b 16.410
_cell_length_c 6.200
_cell_angle_alpha 90.00
_cell_angle_beta 108.41
_cell_angle_gamma 90.00
_symmetry_space_group_name_H-M 'C 1 2/c 1'
_symmetry_Int_Tables_number 15
loop_
_symmetry_equiv_pos_as_xyz
'x,y,z'
'-x,-y,-z'
'-x,y,-z+1/2'
'x,-y,z+1/2'
'x+1/2,y+1/2,z'
'-x+1/2,-y+1/2,-z'
'-x+1/2,y+1/2,-z+1/2'
'x+1/2,-y+1/2,z+1/2'
loop_
_atom_site_label
_atom_site_type_symbol
_atom_site_fract_x
_atom_site_fract_y
_atom_site_fract_z
K1 K 0.131 0.180 0.084
K2 K 0.180 0.432 0.337
Ag1 Ag 0.000 0.000 0.250
Bi1 Bi 0.000 0.359 0.750



(2)
# HoZnSnAu, optimized geometry, DFT PBE
# Energy relative to the elements ... -1.912 eV/f.u.
# N(E_F) ... 7.921 states/eV/cell
# Energy ... -3.76 eV per atom
data_HoZnSnAu
_chemical_formula_sum 'Ho4 Zn4 Sn4 Au4'
_cell_length_a 6.982
_cell_length_b 6.982
_cell_length_c 6.982
_cell_angle_alpha 90.00
_cell_angle_beta 90.00
_cell_angle_gamma 90.00
_symmetry_space_group_name_H-M 'F -4 3 m'
_symmetry_Int_Tables_number 216
_symmetry_space_group_name_Hall 'F -4 2 3'
loop_
_atom_site_label
_atom_site_type_symbol
_atom_site_fract_x
_atom_site_fract_y
_atom_site_fract_z
Ho1 Ho 0.000 0.000 0.000
Zn1 Zn 0.250 0.250 0.250
Sn1 Sn 0.000 0.000 0.500
Au1 Au 0.250 0.250 0.750



(3)
# LaBeCu2Pd, optimized geometry, DFT PBE
# Energy relative to the elements ... -1.096 eV/f.u.
# N(E_F) ... 2.612 states/eV/cell
# Energy ... -4.63 eV per atom
data_LaBeCu2Pd
_chemical_formula_sum 'La1 Be1 Cu2 Pd1'
_cell_length_a 4.343
_cell_length_b 4.343
_cell_length_c 4.583
_cell_angle_alpha 90.00
_cell_angle_beta 90.00
_cell_angle_gamma 90.00
_symmetry_space_group_name_H-M 'P 4/m m m'
_symmetry_Int_Tables_number 123
_symmetry_space_group_name_Hall '-P 4 2'
loop_
_atom_site_label
_atom_site_type_symbol
_atom_site_fract_x
_atom_site_fract_y
_atom_site_fract_z
La1 La 0.000 0.000 0.000
Be1 Be 0.500 0.500 0.500
Cu1 Cu 0.000 0.500 0.500
Pd1 Pd 0.500 0.500 0.000



(4)
# PmDy2Pd, optimized geometry, DFT PBE
# Energy relative to the elements ... -1.244 eV/f.u.
# Relative energy among the computed polymorphs ... 146 meV per atom
# N(E_F) ... 12.533 states/eV/cell
# Energy ... -5.10 eV per atom
data_PmDy2Pd
_chemical_formula_sum 'Pm3 Dy6 Pd3'
_cell_length_a 3.8608
_cell_length_b 3.8608
_cell_length_c 27.6912
_cell_angle_alpha 90.00
_cell_angle_beta 90.00
_cell_angle_gamma 120.00
_symmetry_space_group_name_H-M 'R 3 m'
_symmetry_Int_Tables_number 160
_symmetry_space_group_name_Hall 'R 3 -2"'
loop_
_atom_site_label
_atom_site_type_symbol
_atom_site_fract_x
_atom_site_fract_y
_atom_site_fract_z
Pm1 Pm 0.0000 0.0000 0.0000
Dy1 Dy 0.0000 0.0000 0.5609
Dy2 Dy 0.0000 0.0000 0.7691
Pd1 Pd 0.0000 0.0000 0.1646



(5)
# BaMn2, optimized geometry, DFT PBE
# Energy relative to the elements ... 1.239 eV/f.u.
# N(E_F) ... 11.086 states/eV/cell
# Energy ... -6.34 eV per atom
data_BaMn2
_chemical_formula_sum 'Ba4 Mn8'
_cell_length_a 4.143
_cell_length_b 19.474
_cell_length_c 4.172
_cell_angle_alpha 90.00
_cell_angle_beta 90.00
_cell_angle_gamma 90.00
_symmetry_space_group_name_H-M 'C m c m'
_symmetry_Int_Tables_number 63
_symmetry_space_group_name_Hall '-C 2c 2'
loop_
_atom_site_label
_atom_site_type_symbol
_atom_site_fract_x
_atom_site_fract_y
_atom_site_fract_z
Ba1 Ba 0.000 0.106 0.250
Mn1 Mn 0.000 0.250 0.750
Mn2 Mn 0.000 0.302 0.250



(6)
# SiNi2Br, optimized geometry, DFT PBE
# Raw formation energy ... 0.011 eV/atom
# Relative energy among the computed polymorphs ... 198 meV per atom
# N(E_F) ... 5.834 states/eV/cell
# Energy ... -4.65 eV per atom
data_SiNi2Br
_chemical_formula_sum 'Si2 Ni4 Br2'
_cell_length_a 3.117
_cell_length_b 3.358
_cell_length_c 12.072
_cell_angle_alpha 90.00
_cell_angle_beta 90.00
_cell_angle_gamma 90.00
_symmetry_space_group_name_H-M 'I m m 2'
_symmetry_Int_Tables_number 44
loop_
_symmetry_equiv_pos_as_xyz
'x,y,z'
'-x,-y,z'
'-x,y,z'
'x,-y,z'
'x+1/2,y+1/2,z+1/2'
'-x+1/2,-y+1/2,z+1/2'
'-x+1/2,y+1/2,z+1/2'
'x+1/2,-y+1/2,z+1/2'
loop_
_atom_site_label
_atom_site_type_symbol
_atom_site_fract_x
_atom_site_fract_y
_atom_site_fract_z
Si1 Si 0.000 0.000 0.000
Ni1 Ni 0.000 0.000 0.455
Ni2 Ni 0.000 0.500 0.125
Br1 Br 0.000 0.500 0.750



(7)
# La6C2I3O, optimized geometry, DFT PBE
# Raw formation energy ... -1.141 eV/atom
# N(E_F) ... 5.755 states/eV/cell
# Energy ... -5.94 eV per atom
data_La6C2I3O
_chemical_formula_sum 'La12 C4 I6 O2'
_cell_length_a 6.796
_cell_length_b 11.770
_cell_length_c 8.224
_cell_angle_alpha 90.00
_cell_angle_beta 106.01
_cell_angle_gamma 90.00
_symmetry_space_group_name_H-M 'C 1 2/m 1'
_symmetry_Int_Tables_number 12
loop_
_symmetry_equiv_pos_as_xyz
'x,y,z'
'-x,-y,-z'
'-x,y,-z'
'x,-y,z'
'x+1/2,y+1/2,z'
'-x+1/2,-y+1/2,-z'
'-x+1/2,y+1/2,-z'
'x+1/2,-y+1/2,z'
loop_
_atom_site_label
_atom_site_type_symbol
_atom_site_fract_x
_atom_site_fract_y
_atom_site_fract_z
La1 La 0.223 0.000 0.173
La2 La 0.225 0.333 0.173
C1 C 0.000 0.166 0.000
I1 I 0.000 0.000 0.500
I2 I 0.000 0.332 0.500
O1 O 0.000 0.500 0.000



(8)
# AgSbAs3, optimized geometry, DFT PBE
# Raw formation energy ... 0.836 eV/atom
# Relative energy among the computed polymorphs ... 0 meV per atom
# N(E_F) ... 6.392 states/eV/cell
# Energy ... -3.35 eV per atom
data_AgSbAs3
_chemical_formula_sum 'Ag1 Sb1 As3'
_cell_length_a 5.013
_cell_length_b 5.013
_cell_length_c 5.013
_cell_angle_alpha 90.00
_cell_angle_beta 90.00
_cell_angle_gamma 90.00
_symmetry_space_group_name_H-M 'P m -3 m'
_symmetry_Int_Tables_number 221
_symmetry_space_group_name_Hall '-P 4 2 3'
loop_
_atom_site_label
_atom_site_type_symbol
_atom_site_fract_x
_atom_site_fract_y
_atom_site_fract_z
Ag1 Ag 0.000 0.000 0.000
Sb1 Sb 0.500 0.500 0.500
As1 As 0.000 0.000 0.500



(9)
# LiGaNO2, optimized geometry, DFT PBE
# Raw formation energy ... -0.191 eV/atom
# N(E_F) ... 2.200 states/eV/cell
# Energy ... -4.83 eV per atom
data_LiGaNO2
_chemical_formula_sum 'Li1 Ga1 N1 O2'
_cell_length_a 3.892
_cell_length_b 3.892
_cell_length_c 3.972
_cell_angle_alpha 90.00
_cell_angle_beta 90.00
_cell_angle_gamma 90.00
_symmetry_space_group_name_H-M 'P 4/m m m'
_symmetry_Int_Tables_number 123
_symmetry_space_group_name_Hall '-P 4 2'
loop_
_atom_site_label
_atom_site_type_symbol
_atom_site_fract_x
_atom_site_fract_y
_atom_site_fract_z
Li1 Li 0.000 0.000 0.000
Ga1 Ga 0.500 0.500 0.500
N1 N 0.500 0.500 0.000
O1 O 0.000 0.500 0.500



(10)
# NbAlOF2, optimized geometry, DFT PBE
# Raw formation energy ... -1.665 eV/atom
# Relative energy among the computed polymorphs ... 0 meV per atom
# N(E_F) ... 1.372 states/eV/cell
# Energy ... -6.17 eV per atom
data_NbAlOF2
_chemical_formula_sum 'Nb1 Al1 O1 F2'
_cell_length_a 4.387
_cell_length_b 4.387
_cell_length_c 4.017
_cell_angle_alpha 90.00
_cell_angle_beta 90.00
_cell_angle_gamma 90.00
_symmetry_space_group_name_H-M 'P 4/m m m'
_symmetry_Int_Tables_number 123
_symmetry_space_group_name_Hall '-P 4 2'
loop_
_atom_site_label
_atom_site_type_symbol
_atom_site_fract_x
_atom_site_fract_y
_atom_site_fract_z
Nb1 Nb 0.000 0.000 0.000
Al1 Al 0.500 0.500 0.500
O1 O 0.000 0.000 0.500
F1 F 0.000 0.500 0.000



Number 1: total magnetization 0.00 μB per formula unit. Number 2: total magnetization 0.00 μB per formula unit. Number 3: total magnetization 0.00 μB per formula unit. Number 4: total magnetization 0.00 μB per formula unit. Number 5: total magnetization 0.56 μB per formula unit. Number 6: total magnetization 0.00 μB per formula unit. Number 7: total magnetization 0.00 μB per formula unit. Number 8: total magnetization 0.00 μB per formula unit. Number 9: total magnetization 3.01 μB per formula unit. Number 10: total magnetization 1.93 μB per formula unit.